(1)
Below is a PBEsol-optimized structure of LaInW2, with properties calculated at the meta-GGA SCAN level.

size of the total moment	0.000	μB per atom
ΔE_f	0.79	eV/atom

```
data_LaInW2
_space_group_name_H-M_alt 'P m m m'
_space_group_IT_number 47
_cell_length_a 2.8466
_cell_length_b 4.4908
_cell_length_c 6.5831
_cell_angle_alpha 90.00
_cell_angle_beta 90.00
_cell_angle_gamma 90.00
loop_
_space_group_symop_operation_xyz
'x,y,z'
'-x,-y,-z'
'-x,-y,z'
'x,y,-z'
'x,-y,-z'
'-x,y,z'
'-x,y,-z'
'x,-y,z'
loop_
_atom_site_label
_atom_site_fract_x
_atom_site_fract_y
_atom_site_fract_z
_atom_site_occupancy
La1 0.0000 0.0000 0.0000 1
In1 0.0000 0.0000 0.5000 1
W1 0.5000 0.5000 0.3098 1
```

***

(2)
Below is a PBEsol-optimized structure of ScTc2W, with properties calculated at the meta-GGA SCAN level.

energy relative to the lowest polymorph listed for this composition	0	meV/atom
size of the total moment	0.003	μB per atom
ΔE_f	-0.28	eV/atom

```
data_ScTc2W
_space_group_name_H-M_alt 'F m -3 m'
_space_group_IT_number 225
_space_group_name_Hall '-F 4 2 3'
_cell_length_a 6.2521
_cell_length_b 6.2521
_cell_length_c 6.2521
_cell_angle_alpha 90.00
_cell_angle_beta 90.00
_cell_angle_gamma 90.00
loop_
_atom_site_label
_atom_site_fract_x
_atom_site_fract_y
_atom_site_fract_z
_atom_site_occupancy
Sc1 0.0000 0.0000 0.0000 1
Tc1 0.2500 0.2500 0.2500 1
W1 0.0000 0.0000 0.5000 1
```

***

(3)
Below is a PBEsol-optimized structure of Na2VOF4, with properties calculated at the meta-GGA SCAN level.

size of the total moment	0.125	μB per atom
raw formation energy	-3.00	eV/atom

```
data_Na2VOF4
_space_group_name_H-M_alt 'C 1 2/c 1'
_space_group_IT_number 15
_cell_length_a 12.6491
_cell_length_b 10.2336
_cell_length_c 6.7358
_cell_angle_alpha 90.00
_cell_angle_beta 107.14
_cell_angle_gamma 90.00
loop_
_space_group_symop_operation_xyz
'x,y,z'
'-x,-y,-z'
'-x,y,-z+1/2'
'x,-y,z+1/2'
'x+1/2,y+1/2,z'
'-x+1/2,-y+1/2,-z'
'-x+1/2,y+1/2,-z+1/2'
'x+1/2,-y+1/2,z+1/2'
loop_
_atom_site_label
_atom_site_fract_x
_atom_site_fract_y
_atom_site_fract_z
_atom_site_occupancy
Na1 0.1017 0.1067 0.1234 1
Na2 0.1655 0.4053 0.0304 1
V1 0.1354 0.2619 0.5819 1
O1 0.0134 0.3258 0.5125 1
F1 0.0936 0.0913 0.4614 1
F2 0.1549 0.1872 0.8479 1
F3 0.1882 0.3030 0.3446 1
F4 0.2118 0.4139 0.7269 1
```

***

no.,mass density (kg/m³)
1,12261
2,11545
3,3012